No. 1
VASP calculation (PBE) on an optimized crystal structure of Ce2PuMgP4.

Cell: 6.8783 4.0665 6.9673 Å, 90.00 110.38 90.00°
Closest atoms and distances in Å follow each position.
Space group P2/m (No. 10)
One atom of each set of equivalent atoms:
Ce (0.0000, 0.0000, 0.0000) (multiplicity 1)  6 P 2.86
Ce (0.0000, 0.5000, 0.5000) (multiplicity 1)  6 P 2.85-2.86
Pu (0.5000, 0.0000, 0.5000) (multiplicity 1)  6 P 2.81-2.83
Mg (0.5000, 0.5000, 0.0000) (multiplicity 1)  6 P 2.81-2.84
P (0.2549, 0.5000, 0.2540) (multiplicity 2)  2 Pu 2.81, 1 Mg 2.84, 3 Ce 2.85-2.86
P (0.2556, 0.0000, 0.7527) (multiplicity 2)  2 Mg 2.81, 1 Pu 2.83, 3 Ce 2.86

## Properties
- Spin magnetization: 5.96 μB per cell



No. 2
VASP calculation (PBE) on an optimized crystal structure of Ce2MgP3Rh12.

Cell: 8.6777 8.6777 13.4490 Å, 90.00 90.00 120.00°
Closest atoms and distances in Å follow each position.
Space group R-3m (No. 166, hexagonal axes)
One atom of each set of equivalent atoms:
Ce (0.0000, 0.0000, 0.1179) (multiplicity 6)  3 Rh 2.44
Mg (0.0000, 0.0000, 0.5000) (multiplicity 3)  6 Rh 2.64
P (0.0000, 0.5000, 0.0000) (multiplicity 9)  6 Rh 2.30-2.43
Rh (0.0182, 0.5091, 0.8296) (multiplicity 18)  1 P 2.30, 1 Ce 2.44
Rh (0.0376, 0.5188, 0.3717) (multiplicity 18)  2 P 2.43

## Properties
- Spin magnetization: 0.00 μB per cell



No. 3
VASP calculation (PBE) on an optimized crystal structure of Ce2MgP3Rh4.

Cell: 3.9552 3.9552 10.8337 Å, 90.00 90.00 90.00°
Closest atoms and distances in Å follow each position.
Space group P-4m2 (No. 115)
One atom of each set of equivalent atoms:
Ce (0.0000, 0.5000, 0.2406) (multiplicity 2)  8 Rh 3.00-3.27, 4 P 3.05
Mg (0.0000, 0.0000, 0.5000) (multiplicity 1)  4 Rh 2.62, 4 P 2.80
P (0.0000, 0.5000, 0.8726) (multiplicity 2)  5 Rh 2.32-2.41
P (0.5000, 0.5000, 0.5000) (multiplicity 1)  4 Rh 2.62, 4 Mg 2.80
Rh (0.0000, 0.0000, 0.0000) (multiplicity 1)  4 P 2.41
Rh (0.0000, 0.5000, 0.6580) (multiplicity 2)  1 P 2.32
Rh (0.5000, 0.5000, 0.0000) (multiplicity 1)  4 P 2.41

## Properties
- Spin magnetization: 0.01 μB per cell



No. 4
VASP calculation (PBE) on an optimized crystal structure of CeMgP2Rh5.

Cell: 4.1110 4.1110 9.6093 Å, 90.00 90.00 90.00°
Closest atoms and distances in Å follow each position.
Space group P4/mmm (No. 123)
One atom of each set of equivalent atoms:
Ce (0.0000, 0.0000, 0.0000) (multiplicity 1)  4 Rh 2.91
Mg (0.0000, 0.0000, 0.5000) (multiplicity 1)  8 Rh 2.62
P (0.5000, 0.5000, 0.2357) (multiplicity 2)  5 Rh 2.25-2.26
Rh (0.0000, 0.5000, 0.3303) (multiplicity 4)  2 P 2.25
Rh (0.5000, 0.5000, 0.0000) (multiplicity 1)  2 P 2.26

## Properties
- Spin magnetization: 0.70 μB per cell



No. 5
VASP calculation (PBE) on an optimized crystal structure of CeMgP2Rh2.

Cell: 4.0671 4.0671 7.1256 Å, 90.00 90.00 120.00°
Closest atoms and distances in Å follow each position.
Space group P-3m1 (No. 164)
One atom of each set of equivalent atoms:
Ce (0.0000, 0.0000, 0.0000) (multiplicity 1)  6 P 2.97, 6 Rh 3.22
Mg (0.0000, 0.0000, 0.5000) (multiplicity 1)  6 Rh 2.71, 6 P 2.92
P (0.3333, 0.6667, 0.2555) (multiplicity 2)  3 Rh 2.38
Rh (0.3333, 0.6667, 0.6902) (multiplicity 2)  3 P 2.38

## Properties
- Spin magnetization: 0.00 μB per cell



No. 6
VASP calculation (PBE) on an optimized crystal structure of Ce2SmMgP4.

Cell: 6.9360 4.0835 7.0492 Å, 90.00 110.28 90.00°
Closest atoms and distances in Å follow each position.
Space group P2/m (No. 10)
One atom of each set of equivalent atoms:
Ce (0.0000, 0.0000, 0.0000) (multiplicity 1)  6 P 2.84
Ce (0.0000, 0.5000, 0.5000) (multiplicity 1)  6 P 2.87
Sm (0.5000, 0.0000, 0.5000) (multiplicity 1)  6 P 2.88-2.89
Mg (0.5000, 0.5000, 0.0000) (multiplicity 1)  6 P 2.84-2.87
P (0.2465, 0.5000, 0.2470) (multiplicity 2)  3 Ce 2.84-2.87, 1 Mg 2.87, 2 Sm 2.88
P (0.2508, 0.0000, 0.7552) (multiplicity 2)  2 Mg 2.84, 3 Ce 2.84-2.87, 1 Sm 2.89

## Properties
- Spin magnetization: 0.80 μB per cell



No. 7
VASP calculation (PBE) on an optimized crystal structure of Ce4Th3MgP8.

Cell: 8.1906 8.1906 20.1118 Å, 90.00 90.00 120.00°
Closest atoms and distances in Å follow each position.
Space group R-3m (No. 166, hexagonal axes)
One atom of each set of equivalent atoms:
Ce (0.0000, 0.0000, 0.0000) (multiplicity 3)  6 P 2.92
Ce (0.0000, 0.5000, 0.0000) (multiplicity 9)  6 P 2.88-2.89
Th (0.0000, 0.5000, 0.5000) (multiplicity 9)  6 P 2.91
Mg (0.0000, 0.0000, 0.5000) (multiplicity 3)  6 P 2.87
P (0.0000, 0.0000, 0.2512) (multiplicity 6)  3 Ce 2.88, 3 Th 2.91
P (0.0042, 0.5021, 0.2499) (multiplicity 18)  1 Mg 2.87, 3 Ce 2.89-2.92, 2 Th 2.91

## Properties
- Spin magnetization: 6.91 μB per cell



No. 8
VASP calculation (PBE) on an optimized crystal structure of Ce2MgPa.

Cell: 7.5239 7.5239 7.5239 Å, 90.00 90.00 90.00°
Closest atoms and distances in Å follow each position.
Space group Fm-3m (No. 225)
One atom of each set of equivalent atoms:
Ce (0.2500, 0.2500, 0.2500) (multiplicity 8)  4 Mg 3.26, 4 Pa 3.26
Mg (0.0000, 0.0000, 0.0000) (multiplicity 4)  8 Ce 3.26
Pa (0.0000, 0.0000, 0.5000) (multiplicity 4)  8 Ce 3.26

## Properties
- Spin magnetization: 13.34 μB per cell
- Energy above the most stable polymorph in this dataset: 267 meV/atom



No. 9
VASP calculation (PBE) on an optimized crystal structure of Ce2MgPa.

Cell: 3.1414 3.1414 10.3596 Å, 90.00 90.00 90.00°
Closest atoms and distances in Å follow each position.
Space group P4/mmm (No. 123)
One atom of each set of equivalent atoms:
Ce (0.0000, 0.0000, 0.2406) (multiplicity 2)  4 Ce 3.14, 4 Pa 3.34, 4 Mg 3.49
Mg (0.5000, 0.5000, 0.5000) (multiplicity 1)  4 Mg 3.14, 8 Ce 3.49
Pa (0.5000, 0.5000, 0.0000) (multiplicity 1)  4 Pa 3.14, 8 Ce 3.34

## Properties
- Spin magnetization: 0.01 μB per cell
- Energy above the most stable polymorph in this dataset: 0 meV/atom



No. 10
VASP calculation (PBE) on an optimized crystal structure of Ce2MgPa.

Cell: 4.7501 4.7501 4.5940 Å, 90.00 90.00 90.00°
Closest atoms and distances in Å follow each position.
Space group P4/mmm (No. 123)
One atom of each set of equivalent atoms:
Ce (0.0000, 0.5000, 0.0000) (multiplicity 2)  4 Pa 3.30, 4 Mg 3.30, 4 Ce 3.36
Mg (0.0000, 0.0000, 0.5000) (multiplicity 1)  8 Ce 3.30, 4 Pa 3.36
Pa (0.5000, 0.5000, 0.5000) (multiplicity 1)  8 Ce 3.30, 4 Mg 3.36

## Properties
- Spin magnetization: 1.57 μB per cell
- Energy above the most stable polymorph in this dataset: 183 meV/atom



No. 11
VASP calculation (PBE) on an optimized crystal structure of CeMg4Pa.

Cell: 8.4325 8.4325 8.4325 Å, 90.00 90.00 90.00°
Closest atoms and distances in Å follow each position.
Space group F-43m (No. 216)
One atom of each set of equivalent atoms:
Ce (0.0000, 0.0000, 0.0000) (multiplicity 4)  12 Mg 3.50, 4 Pa 3.65
Mg (0.1247, 0.1247, 0.3753) (multiplicity 16)  6 Mg 2.98-2.99
Pa (0.2500, 0.2500, 0.7500) (multiplicity 4)  12 Mg 3.50, 4 Ce 3.65

## Properties
- Spin magnetization: 9.29 μB per cell



No. 12
VASP calculation (PBE) on an optimized crystal structure of Ce2MgPa.

Cell: 3.1524 3.1524 36.8067 Å, 90.00 90.00 120.00°
Closest atoms and distances in Å follow each position.
Space group R-3m (No. 166, hexagonal axes)
One atom of each set of equivalent atoms:
Ce (0.0000, 0.0000, 0.0893) (multiplicity 6)  6 Ce 3.15, 1 Mg 3.29, 3 Pa 3.38
Mg (0.0000, 0.0000, 0.0000) (multiplicity 3)  6 Mg 3.15, 2 Ce 3.29
Pa (0.0000, 0.0000, 0.5000) (multiplicity 3)  6 Pa 3.15, 6 Ce 3.38

## Properties
- Spin magnetization: 0.01 μB per cell
- Energy above the most stable polymorph in this dataset: 165 meV/atom



No. 13
VASP calculation (PBE) on an optimized crystal structure of CePmMgPa.

Cell: 7.6387 7.6387 7.6387 Å, 90.00 90.00 90.00°
Closest atoms and distances in Å follow each position.
Space group F-43m (No. 216)
One atom of each set of equivalent atoms:
Ce (0.0000, 0.0000, 0.0000) (multiplicity 4)  4 Mg 3.31, 4 Pa 3.31
Pm (0.0000, 0.0000, 0.5000) (multiplicity 4)  4 Pa 3.31, 4 Mg 3.31
Mg (0.2500, 0.2500, 0.7500) (multiplicity 4)  4 Ce 3.31, 4 Pm 3.31
Pa (0.2500, 0.2500, 0.2500) (multiplicity 4)  4 Ce 3.31, 4 Pm 3.31

## Properties
- Spin magnetization: 8.23 μB per cell



No. 14
VASP calculation (PBE) on an optimized crystal structure of Ce2MgPa2Rh5.

Cell: 10.8464 10.8464 3.4525 Å, 90.00 90.00 90.00°
Closest atoms and distances in Å follow each position.
Space group P4/mbm (No. 127)
One atom of each set of equivalent atoms:
Ce (0.1590, 0.3410, 0.0000) (multiplicity 4)  1 Pa 2.88, 2 Rh 2.99
Mg (0.0000, 0.0000, 0.0000) (multiplicity 2)  8 Rh 2.73
Pa (0.1534, 0.6534, 0.0000) (multiplicity 4)  6 Rh 2.64-2.92, 1 Ce 2.88
Rh (0.0000, 0.5000, 0.5000) (multiplicity 2)  4 Pa 2.92, 4 Ce 2.99
Rh (0.0715, 0.8188, 0.5000) (multiplicity 8)  2 Pa 2.64, 2 Mg 2.73

## Properties
- Spin magnetization: 3.35 μB per cell



No. 15
VASP calculation (PBE) on an optimized crystal structure of CeMgScPa.

Cell: 7.3609 7.3609 7.3609 Å, 90.00 90.00 90.00°
Closest atoms and distances in Å follow each position.
Space group F-43m (No. 216)
One atom of each set of equivalent atoms:
Ce (0.0000, 0.0000, 0.0000) (multiplicity 4)  4 Pa 3.19, 4 Mg 3.19
Mg (0.2500, 0.2500, 0.7500) (multiplicity 4)  4 Ce 3.19, 4 Sc 3.19
Sc (0.0000, 0.0000, 0.5000) (multiplicity 4)  4 Pa 3.19, 4 Mg 3.19
Pa (0.2500, 0.2500, 0.2500) (multiplicity 4)  4 Ce 3.19, 4 Sc 3.19

## Properties
- Spin magnetization: 1.64 μB per cell



No. 16
VASP calculation (PBE) on an optimized crystal structure of Ce6Mg4Pb7.

Cell: 10.2856 10.2856 10.2856 Å, 90.00 90.00 90.00°
Closest atoms and distances in Å follow each position.
Space group Im-3m (No. 229)
One atom of each set of equivalent atoms:
Ce (0.0000, 0.0000, 0.3013) (multiplicity 12)  5 Pb 3.10-3.28
Mg (0.2500, 0.2500, 0.2500) (multiplicity 8)  6 Pb 3.64, 6 Ce 3.67
Pb (0.0000, 0.0000, 0.0000) (multiplicity 2)  6 Ce 3.10
Pb (0.0000, 0.2500, 0.5000) (multiplicity 12)  4 Ce 3.28, 4 Pb 3.64, 4 Mg 3.64

## Properties
- Spin magnetization: 12.92 μB per cell



No. 17
VASP calculation (PBE) on an optimized crystal structure of Ce3MgPb4.

Cell: 10.3998 6.6345 6.6740 Å, 90.00 90.00 90.00°
Closest atoms and distances in Å follow each position.
Space group Pmn2_1 (No. 31)
One atom of each set of equivalent atoms:
Ce (0.0000, 0.0038, 0.0000) (multiplicity 2)  8 Pb 3.31-3.52, 4 Ce 3.48-3.50
Ce (0.2505, 0.2440, 0.2501) (multiplicity 4)  8 Pb 3.30-3.54, 2 Ce 3.48-3.50, 2 Mg 3.52-3.53
Mg (0.0000, 0.4999, 0.4988) (multiplicity 2)  8 Pb 3.31-3.51, 4 Ce 3.52-3.53
Pb (0.0000, 0.0007, 0.5000) (multiplicity 2)  2 Mg 3.31-3.32, 6 Ce 3.34-3.49, 4 Pb 3.51-3.53
Pb (0.0000, 0.5021, 0.9994) (multiplicity 2)  6 Ce 3.31-3.54, 2 Mg 3.33-3.34, 4 Pb 3.48-3.51
Pb (0.2487, 0.7461, 0.2501) (multiplicity 4)  6 Ce 3.30-3.52, 4 Pb 3.48-3.53, 2 Mg 3.48-3.51

## Properties
- Spin magnetization: 7.23 μB per cell
- Energy above the most stable polymorph in this dataset: 0 meV/atom



No. 18
VASP calculation (PBE) on an optimized crystal structure of Ce2Mg2Pb.

Cell: 4.2651 4.2651 16.7550 Å, 90.00 90.00 90.00°
Closest atoms and distances in Å follow each position.
Space group I4/mmm (No. 139)
One atom of each set of equivalent atoms:
Ce (0.0000, 0.0000, 0.0809) (multiplicity 4)  1 Ce 2.71
Mg (0.0000, 0.5000, 0.2500) (multiplicity 4)  4 Mg 3.02
Pb (0.0000, 0.0000, 0.5000) (multiplicity 2)  8 Ce 3.31

## Properties
- Spin magnetization: 4.33 μB per cell



No. 19
VASP calculation (PBE) on an optimized crystal structure of Ce2MgPb.

Cell: 6.4590 12.0614 5.3133 Å, 90.00 90.00 90.00°
Closest atoms and distances in Å follow each position.
Space group Cmcm (No. 63)
One atom of each set of equivalent atoms:
Ce (0.2156, 0.0584, 0.2500) (multiplicity 8)  3 Ce 2.79-3.01
Mg (0.0000, 0.1920, 0.7500) (multiplicity 4)  4 Pb 3.11-3.24, 6 Ce 3.33-3.40
Pb (0.0000, 0.3267, 0.2500) (multiplicity 4)  4 Mg 3.11-3.24, 2 Ce 3.34

## Properties
- Spin magnetization: 5.34 μB per cell



No. 20
VASP calculation (PBE) on an optimized crystal structure of Ce2MgPb.

Cell: 3.2411 3.2411 37.2368 Å, 90.00 90.00 120.00°
Closest atoms and distances in Å follow each position.
Space group R-3m (No. 166, hexagonal axes)
One atom of each set of equivalent atoms:
Ce (0.0000, 0.0000, 0.0891) (multiplicity 6)  6 Ce 3.24, 1 Mg 3.32, 3 Pb 3.44
Mg (0.0000, 0.0000, 0.0000) (multiplicity 3)  6 Mg 3.24, 2 Ce 3.32
Pb (0.0000, 0.0000, 0.5000) (multiplicity 3)  6 Pb 3.24, 6 Ce 3.44

## Properties
- Spin magnetization: 2.69 μB per cell



No. 21
VASP calculation (PBE) on an optimized crystal structure of Ce2MgPb9.

Cell: 4.8661 4.8661 14.9757 Å, 90.00 90.00 90.00°
Closest atoms and distances in Å follow each position.
Space group P4/mmm (No. 123)
One atom of each set of equivalent atoms:
Ce (0.0000, 0.0000, 0.1588) (multiplicity 2)  12 Pb 3.40-3.62
Mg (0.0000, 0.0000, 0.5000) (multiplicity 1)  12 Pb 3.44
Pb (0.0000, 0.5000, 0.0000) (multiplicity 2)  4 Ce 3.40, 8 Pb 3.44-3.52
Pb (0.0000, 0.5000, 0.3378) (multiplicity 4)  8 Pb 3.44-3.50, 2 Mg 3.44, 2 Ce 3.62
Pb (0.5000, 0.5000, 0.1698) (multiplicity 2)  4 Ce 3.44, 8 Pb 3.50-3.52
Pb (0.5000, 0.5000, 0.5000) (multiplicity 1)  8 Pb 3.44, 4 Mg 3.44

## Properties
- Spin magnetization: 2.06 μB per cell



No. 22
VASP calculation (PBE) on an optimized crystal structure of CeMg3Pb2.

Cell: 17.8330 4.7628 8.3971 Å, 90.00 115.90 90.00°
Closest atoms and distances in Å follow each position.
Space group C2/m (No. 12)
One atom of each set of equivalent atoms:
Ce (0.1180, 0.0000, 0.1839) (multiplicity 4)  7 Pb 3.32-3.68, 3 Mg 3.60-3.65
Mg (0.0680, 0.0000, 0.6947) (multiplicity 4)  3 Pb 2.94-3.13, 3 Mg 3.11-3.20
Mg (0.1199, 0.5000, 0.5077) (multiplicity 4)  3 Pb 2.94-3.07, 3 Mg 3.07-3.20
Mg (0.2017, 0.5000, 0.9143) (multiplicity 4)  3 Mg 2.92-3.07, 2 Pb 2.95-3.18
Pb (0.0245, 0.5000, 0.8421) (multiplicity 4)  4 Mg 2.94-2.95, 1 Pb 3.13
Pb (0.2376, 0.0000, 0.6688) (multiplicity 4)  6 Mg 3.07-3.39, 2 Ce 3.32

## Properties
- Spin magnetization: 4.66 μB per cell



No. 23
VASP calculation (PBE) on an optimized crystal structure of CeMgPb3.

Cell: 5.3441 16.8020 6.6623 Å, 90.00 90.00 90.00°
Closest atoms and distances in Å follow each position.
Space group Cmcm (No. 63)
One atom of each set of equivalent atoms:
Ce (0.0000, 0.1827, 0.2500) (multiplicity 4)  8 Pb 3.29-3.49, 1 Mg 3.46
Mg (0.0000, 0.3888, 0.2500) (multiplicity 4)  3 Pb 3.02-3.06
Pb (0.0000, 0.0000, 0.0000) (multiplicity 4)  6 Pb 3.33-3.35, 2 Ce 3.49, 4 Mg 3.66
Pb (0.0000, 0.1996, 0.7500) (multiplicity 4)  2 Mg 3.06, 4 Ce 3.32-3.34
Pb (0.0000, 0.4314, 0.7500) (multiplicity 4)  1 Mg 3.02, 2 Ce 3.29, 4 Pb 3.35

## Properties
- Spin magnetization: 3.69 μB per cell
- Energy above the most stable polymorph in this dataset: 0 meV/atom



The mass density results, record by record, are as follows: 6.11; 9.27; 7.93; 7.58; 7.03; 5.13; 6.52; 8.35; 8.70; 8.58; 5.19; 8.42; 8.05; 10.48; 7.33; 7.29; 9.18; 5.84; 8.21; 7.53; 10.16; 6.50; 8.73 g cm⁻³.
The E_tot results, record by record, are as follows: -7.30; -6.98; -6.94; -6.74; -6.46; -6.20; -7.06; -5.44; -5.71; -5.52; -3.44; -5.54; -5.12; -7.46; -5.56; -3.96; -4.60; -3.70; -4.52; -4.20; -4.12; -3.17; -3.87 eV per atom.
The formation enthalpy at 0 K results, record by record, are as follows: -1120; -430; -1031; -615; -951; -1225; -1385; 299; 31; 215; 198; 196; 321; -540; 275; 37; -318; 49; -225; 97; -215; -150; -144 meV per atom.